Version one
# Ce6TlGa2

A geometry-optimized Ce6TlGa2 structure (GGA-PBE, Alexandria via LeMat-Bulk).

Calculated values
Crystal system: orthorhombic

Lattice parameters (Å, degrees): 3.1283 9.1946 9.1946 58.28 80.21 80.21
Last column: nearest neighbours and their distance in Å.
Fractional coordinates of all 9 atoms:
Ce1 0.1646 0.5257 0.1451  3 Ce 2.92-3.13, 2 Ga 3.19
Ce2 0.8354 0.4743 0.8549  3 Ce 2.92-3.13, 2 Ga 3.19
Ce3 0.8354 0.8549 0.4743  3 Ce 2.92-3.13, 2 Ga 3.19
Ce4 0.0000 0.1607 0.8393  5 Ce 2.88-3.13
Ce5 0.0000 0.8393 0.1607  5 Ce 2.88-3.13
Ce6 0.1646 0.1451 0.5257  3 Ce 2.92-3.13, 2 Ga 3.19
Tl1 0.5000 0.5000 0.5000  2 Tl 3.13, 12 Ce 3.42-3.47
Ga1 0.3417 0.1583 0.1583  2 Ga 3.13, 10 Ce 3.19-3.28
Ga2 0.6583 0.8417 0.8417  2 Ga 3.13, 10 Ce 3.19-3.28

***

Version two
# Ce6TlGa2

A geometry-optimized Ce6TlGa2 structure (GGA-PBE, Alexandria via LeMat-Bulk).

Calculated values
Crystal system: hexagonal

Lattice parameters (Å, degrees): 3.0200 8.9903 8.9903 120.00 90.00 90.00
Last column: nearest neighbours and their distance in Å.
Fractional coordinates of all 9 atoms:
Ce1 0.5000 0.3477 0.3477  3 Ce 2.74-3.02
Ce2 0.5000 0.6523 0.6523  3 Ce 2.74-3.02
Ce3 0.5000 0.0000 0.6523  3 Ce 2.74-3.02
Ce4 0.5000 0.6523 0.0000  3 Ce 2.74-3.02
Ce5 0.5000 0.3477 0.0000  3 Ce 2.74-3.02
Ce6 0.5000 0.0000 0.3477  3 Ce 2.74-3.02
Tl1 0.0000 0.0000 0.0000  2 Tl 3.02
Ga1 0.0000 0.3333 0.6667  2 Ga 3.02, 12 Ce 3.30
Ga2 0.0000 0.6667 0.3333  2 Ga 3.02, 12 Ce 3.30

***

Most favorable structure: version two. The second most favorable one is 62 meV per atom above it.

***

Version one
# CeTl2Ga

A geometry-optimized CeTl2Ga structure (GGA-PBE, Alexandria via LeMat-Bulk).

Calculated values
Crystal system: tetragonal

Lattice parameters (Å, degrees): 4.8014 4.6202 4.6202 90.00 90.00 90.00
Last column: nearest neighbours and their distance in Å.
Fractional coordinates of all 4 atoms:
Tl1 0.0000 0.0000 0.5000  4 Tl 3.27, 4 Ce 3.33, 4 Ga 3.33
Tl2 0.0000 0.5000 0.0000  4 Tl 3.27, 4 Ce 3.33, 4 Ga 3.33
Ga1 0.5000 0.0000 0.0000  4 Ce 3.27, 8 Tl 3.33
Ce1 0.5000 0.5000 0.5000  4 Ga 3.27, 8 Tl 3.33

***

Version two
# CeTl2Ga

A geometry-optimized CeTl2Ga structure (GGA-PBE, Alexandria via LeMat-Bulk).

Calculated values
Crystal system: trigonal

Lattice parameters (Å, degrees): 3.3779 3.3779 11.5946 81.62 81.62 60.00
Last column: nearest neighbours and their distance in Å.
Fractional coordinates of all 4 atoms:
Tl1 0.0941 0.0941 0.7176  3 Ga 3.16, 1 Ce 3.23, 6 Tl 3.38
Tl2 0.9059 0.9059 0.2824  3 Ga 3.16, 1 Ce 3.23, 6 Tl 3.38
Ga1 0.5000 0.5000 0.5000  6 Tl 3.16, 6 Ga 3.38
Ce1 0.0000 0.0000 0.0000  2 Tl 3.23, 6 Ce 3.38

***

Most favorable structure: version one. The second most favorable one is 465 meV per atom above it.

***

Version one
# Ce6Tl2Ga

A geometry-optimized Ce6Tl2Ga structure (GGA-PBE, Alexandria via LeMat-Bulk).

Calculated values
Crystal system: hexagonal

Lattice parameters (Å, degrees): 3.0917 9.0935 9.0935 120.00 90.00 90.00
Last column: nearest neighbours and their distance in Å.
Fractional coordinates of all 9 atoms:
Ce1 0.5000 0.3156 0.3156  4 Ce 2.87-3.09
Ce2 0.5000 0.6844 0.6844  4 Ce 2.87-3.09
Ce3 0.5000 0.0000 0.6844  4 Ce 2.87-3.09
Ce4 0.5000 0.6844 0.0000  4 Ce 2.87-3.09
Ce5 0.5000 0.3156 0.0000  4 Ce 2.87-3.09
Ce6 0.5000 0.0000 0.3156  4 Ce 2.87-3.09
Tl1 0.0000 0.3333 0.6667  2 Tl 3.09
Tl2 0.0000 0.6667 0.3333  2 Tl 3.09
Ga1 0.0000 0.0000 0.0000  2 Ga 3.09, 12 Ce 3.26

***

Version two
# Ce6Tl2Ga

A geometry-optimized Ce6Tl2Ga structure (GGA-PBE, Alexandria via LeMat-Bulk).

Calculated values
Crystal system: monoclinic

Lattice parameters (Å, degrees): 5.1308 6.9406 8.9803 112.73 102.38 90.00
Last column: nearest neighbours and their distance in Å.
Fractional coordinates of all 9 atoms:
Ce1 0.1851 0.3664 0.3312  1 Ce 2.79, 1 Ga 3.03
Ce2 0.8149 0.0352 0.6688  1 Ce 2.79, 1 Ga 3.03
Ce3 0.8149 0.6336 0.6688  1 Ce 2.79, 1 Ga 3.03
Ce4 0.5000 0.2044 0.0000  1 Ce 2.84, 2 Ga 2.93
Ce5 0.1851 0.9648 0.3312  1 Ce 2.79, 1 Ga 3.03
Ce6 0.5000 0.7956 0.0000  1 Ce 2.84, 2 Ga 2.93
Tl1 0.6783 0.6533 0.3066  8 Ce 3.23-3.32
Tl2 0.3217 0.3467 0.6934  8 Ce 3.23-3.32
Ga1 0.0000 0.0000 0.0000  8 Ce 2.93-3.03

***

Most favorable structure: version one. The second most favorable one is 215 meV per atom above it.

***

Version one
# CeTm2Ga6

A geometry-optimized CeTm2Ga6 structure (GGA-PBE, Alexandria via LeMat-Bulk).

Calculated values
Crystal system: hexagonal

Lattice parameters (Å, degrees): 3.7723 7.5201 7.5201 120.00 90.00 90.00
Last column: nearest neighbours and their distance in Å.
Fractional coordinates of all 9 atoms:
Ce1 0.0000 0.0000 0.0000  12 Ga 3.15
Tm1 0.0000 0.3333 0.6667  12 Ga 3.13
Tm2 0.0000 0.6667 0.3333  12 Ga 3.13
Ga1 0.5000 0.3353 0.3353  3 Ga 2.48-2.52
Ga2 0.5000 0.6647 0.6647  3 Ga 2.48-2.52
Ga3 0.5000 0.0000 0.6647  3 Ga 2.48-2.52
Ga4 0.5000 0.6647 0.0000  3 Ga 2.48-2.52
Ga5 0.5000 0.3353 0.0000  3 Ga 2.48-2.52
Ga6 0.5000 0.0000 0.3353  3 Ga 2.48-2.52

***

Version two
# CeTm2Ga6

A geometry-optimized CeTm2Ga6 structure (GGA-PBE, Alexandria via LeMat-Bulk).

Calculated values
Crystal system: orthorhombic

Lattice parameters (Å, degrees): 4.3063 7.0985 7.7366 117.31 106.16 90.00
Last column: nearest neighbours and their distance in Å.
Fractional coordinates of all 9 atoms:
Ce1 0.0000 0.5000 0.0000  4 Ga 3.11
Tm1 0.8754 0.8754 0.7508  10 Ga 2.83-3.15
Tm2 0.1246 0.1246 0.2492  10 Ga 2.83-3.15
Ga1 0.6867 0.8833 0.3734  4 Ga 2.58-2.82, 1 Tm 2.83
Ga2 0.3133 0.1167 0.6266  4 Ga 2.58-2.82, 1 Tm 2.83
Ga3 0.3133 0.5099 0.6266  4 Ga 2.58-2.82, 1 Tm 2.83
Ga4 0.5000 0.1829 0.0000  3 Ga 2.58-2.60
Ga5 0.5000 0.8171 0.0000  3 Ga 2.58-2.60
Ga6 0.6867 0.4901 0.3734  4 Ga 2.58-2.82, 1 Tm 2.83

***

Most favorable structure: version one. The second most favorable one is 129 meV per atom above it.

***

Version one
# Ce2TmGa6

A geometry-optimized Ce2TmGa6 structure (GGA-PBE, Alexandria via LeMat-Bulk).

Calculated values
Crystal system: hexagonal

Lattice parameters (Å, degrees): 4.1277 7.3662 7.3662 120.00 90.00 90.00
Last column: nearest neighbours and their distance in Å.
Fractional coordinates of all 9 atoms:
Ce1 0.0000 0.3333 0.6667  12 Ga 3.21
Ce2 0.0000 0.6667 0.3333  12 Ga 3.21
Tm1 0.0000 0.0000 0.0000  12 Ga 3.20
Ga1 0.5000 0.3320 0.3320  3 Ga 2.45-2.47
Ga2 0.5000 0.6680 0.6680  3 Ga 2.45-2.47
Ga3 0.5000 0.0000 0.6680  3 Ga 2.45-2.47
Ga4 0.5000 0.6680 0.0000  3 Ga 2.45-2.47
Ga5 0.5000 0.3320 0.0000  3 Ga 2.45-2.47
Ga6 0.5000 0.0000 0.3320  3 Ga 2.45-2.47

***

Version two
# Ce2TmGa6

A geometry-optimized Ce2TmGa6 structure (GGA-PBE, Alexandria via LeMat-Bulk).

Calculated values
Crystal system: orthorhombic

Lattice parameters (Å, degrees): 4.4265 7.7449 7.7449 53.87 73.40 73.40
Last column: nearest neighbours and their distance in Å.
Fractional coordinates of all 9 atoms:
Ce1 0.3939 0.1061 0.1061  1 Ce 2.78, 6 Ga 2.98-3.02
Ce2 0.6061 0.8939 0.8939  1 Ce 2.78, 6 Ga 2.98-3.02
Tm1 0.5000 0.5000 0.5000  4 Ga 2.98
Ga1 0.1911 0.5023 0.1156  4 Ga 2.58-2.81
Ga2 0.8089 0.4977 0.8844  4 Ga 2.58-2.81
Ga3 0.8089 0.8844 0.4977  4 Ga 2.58-2.81
Ga4 0.0000 0.2156 0.7844  2 Ga 2.58
Ga5 0.0000 0.7844 0.2156  2 Ga 2.58
Ga6 0.1911 0.1156 0.5023  4 Ga 2.58-2.81

***

Most favorable structure: version one. The second most favorable one is 203 meV per atom above it.

***

Version one
# Ce2TmGa2

A geometry-optimized Ce2TmGa2 structure (GGA-PBE, Alexandria via LeMat-Bulk).

Calculated values
Crystal system: monoclinic

Lattice parameters (Å, degrees): 4.2792 6.1676 10.0490 111.14 90.00 90.00
Last column: nearest neighbours and their distance in Å.
Fractional coordinates of all 10 atoms:
Ce1 0.2500 0.7808 0.8369  1 Ce 2.83, 2 Ga 3.11
Ce2 0.7500 0.2192 0.1631  1 Ce 2.83, 2 Ga 3.11
Ce3 0.2500 0.4323 0.5616  3 Ce 2.75-2.83, 2 Ga 3.04
Ce4 0.7500 0.5677 0.4384  3 Ce 2.75-2.83, 2 Ga 3.04
Tm1 0.2500 0.7876 0.2380  6 Ga 2.96-3.08
Tm2 0.7500 0.2124 0.7620  6 Ga 2.96-3.08
Ga1 0.2500 0.9339 0.5656  2 Ga 2.79, 3 Tm 3.00-3.08, 4 Ce 3.04-3.09
Ga2 0.7500 0.0661 0.4344  2 Ga 2.79, 3 Tm 3.00-3.08, 4 Ce 3.04-3.09
Ga3 0.2500 0.3488 0.9805  2 Ga 2.77, 3 Tm 2.96-2.99
Ga4 0.7500 0.6512 0.0195  2 Ga 2.77, 3 Tm 2.96-2.99

***

Version two
# Ce2TmGa2

A geometry-optimized Ce2TmGa2 structure (GGA-PBE, Alexandria via LeMat-Bulk).

Calculated values
Crystal system: tetragonal

Lattice parameters (Å, degrees): 4.4207 7.6563 7.6563 90.00 90.00 90.00
Last column: nearest neighbours and their distance in Å.
Fractional coordinates of all 10 atoms:
Ce1 0.5000 0.1700 0.6700  6 Ga 3.15-3.17
Ce2 0.5000 0.6700 0.8300  6 Ga 3.15-3.17
Ce3 0.5000 0.8300 0.3300  6 Ga 3.15-3.17
Ce4 0.5000 0.3300 0.1700  6 Ga 3.15-3.17
Tm1 0.0000 0.0000 0.0000  4 Ga 3.03
Tm2 0.0000 0.5000 0.5000  4 Ga 3.03
Ga1 0.0000 0.3767 0.8767  1 Ga 2.67
Ga2 0.0000 0.8767 0.6233  1 Ga 2.67
Ga3 0.0000 0.6233 0.1233  1 Ga 2.67
Ga4 0.0000 0.1233 0.3767  1 Ga 2.67

***

Most favorable structure: version two. The second most favorable one is 61 meV per atom above it.